Compound: Cs4La3SmTe8
Source: Alexandria
Functional: PBE
Structure: optimized geometry

Geometry as CIF:
```
data_Cs4La3SmTe8
_chemical_formula_sum 'Cs12 La9 Sm3 Te24'
_symmetry_space_group_name_H-M 'R -3 m'
_symmetry_Int_Tables_number 166
_symmetry_space_group_name_Hall '-R 3 2"'
_cell_length_a 9.4714
_cell_length_b 9.4714
_cell_length_c 26.7963
_cell_angle_alpha 90.00
_cell_angle_beta 90.00
_cell_angle_gamma 120.00
loop_
_atom_site_label
_atom_site_fract_x
_atom_site_fract_y
_atom_site_fract_z
Cs1 0.0000 0.0000 0.0000
Cs2 0.0000 0.5000 0.0000
La1 0.0000 0.5000 0.5000
Sm1 0.0000 0.0000 0.5000
Te1 0.0000 0.0000 0.2323
Te2 0.0060 0.5030 0.2315
```

Calculated values
The calculation puts the total energy at -4.4792 eV/atom. The calculated volume comes out at 43.371 Å³/atom. The density of states at the Fermi level is 0.000 states/eV/atom.


Compound: CsLaSn2
Source: Alexandria
Functional: PBE
Structure: optimized geometry

Geometry as CIF:
```
data_CsLaSn2
_chemical_formula_sum 'Cs4 La4 Sn8'
_symmetry_space_group_name_H-M 'F m -3 m'
_symmetry_Int_Tables_number 225
_symmetry_space_group_name_Hall '-F 4 2 3'
_cell_length_a 8.327
_cell_length_b 8.327
_cell_length_c 8.327
_cell_angle_alpha 90.00
_cell_angle_beta 90.00
_cell_angle_gamma 90.00
loop_
_atom_site_label
_atom_site_fract_x
_atom_site_fract_y
_atom_site_fract_z
Cs1 0.000 0.000 0.000
La1 0.000 0.000 0.500
Sn1 0.250 0.250 0.250
```

Calculated values
The calculated volume comes out at 36.091 Å³/atom. The density of states at the Fermi level is 0.740 states/eV/atom. The formation energy is -0.3 eV per formula unit. The energy above the most stable polymorph in this dataset is 0.000 eV per atom.


Compound: Cs2LaSn2
Source: Alexandria
Functional: PBE
Structure: optimized geometry

Geometry as CIF:
```
data_Cs2LaSn2
_chemical_formula_sum 'Cs4 La2 Sn4'
_symmetry_space_group_name_H-M 'P 4/m b m'
_symmetry_Int_Tables_number 127
_symmetry_space_group_name_Hall '-P 4 2ab'
_cell_length_a 8.332
_cell_length_b 8.332
_cell_length_c 6.637
_cell_angle_alpha 90.00
_cell_angle_beta 90.00
_cell_angle_gamma 90.00
loop_
_atom_site_label
_atom_site_fract_x
_atom_site_fract_y
_atom_site_fract_z
Cs1 0.169 0.331 0.000
La1 0.000 0.000 0.500
Sn1 0.123 0.623 0.500
```

Calculated values
The calculated volume comes out at 46.075 Å³/atom. The density of states at the Fermi level is 1.086 states/eV/atom. The formation energy is -0.4 eV per formula unit. The energy above the most stable polymorph in this dataset is 0.006 eV per atom.


Compound: CsLa3Sn
Source: Alexandria
Functional: PBE
Structure: optimized geometry

Geometry as CIF:
```
data_CsLa3Sn
_chemical_formula_sum 'Cs1 La3 Sn1'
_symmetry_space_group_name_H-M 'P m -3 m'
_symmetry_Int_Tables_number 221
_symmetry_space_group_name_Hall '-P 4 2 3'
_cell_length_a 6.275
_cell_length_b 6.275
_cell_length_c 6.275
_cell_angle_alpha 90.00
_cell_angle_beta 90.00
_cell_angle_gamma 90.00
loop_
_atom_site_label
_atom_site_fract_x
_atom_site_fract_y
_atom_site_fract_z
Cs1 0.000 0.000 0.000
La1 0.000 0.500 0.500
Sn1 0.500 0.500 0.500
```

Calculated values
The calculated volume comes out at 49.424 Å³/atom. The density of states at the Fermi level is 2.073 states/eV/atom. The formation energy is 1.0 eV per formula unit. The energy above the most stable polymorph in this dataset is 0.000 eV per atom.